Computed, not measured: a relaxed TlH6Br2N2 crystal at the PBE level of DFT.

POSCAR file:
```
TlH6Br2N2
1.0
-3.651 1.733 -2.122
-1.127 -3.886 -5.917
-6.139 1.880 6.970
H N Tl Br
6 2 1 2
direct
0.044 0.653 0.760
0.214 0.349 0.082
0.786 0.651 0.918
0.146 0.655 0.918
0.956 0.347 0.240
0.854 0.345 0.082
0.945 0.427 0.180
0.055 0.573 0.820
0.500 0.000 0.500
0.113 0.004 0.278
0.887 0.996 0.722
```

raw total energy	-0.158	Ha/atom
volume	190	Å³/f.u.